BaMg2Al after structural relaxation, computed with PBE.

Summary:
Energy relative to the elements in eV per atom: 0.193
Magnetic moment in Bohr magnetons per cell: 0.000

Cell lengths 5.5998, 5.5998, 19.1248 Å; angles 90.00, 90.00, 90.00 degrees
Space group I-42d (No. 122)
Symmetry-distinct sites (fractional):
Ba1 0.0000 0.0000 0.0000 x4
Mg1 0.0068 0.2500 0.6250 x8
Al1 0.0000 0.0000 0.5000 x4